Record 1
DFT (PBE) results for a relaxed KY2Co crystal.

Results
- Electronic total energy: -20.78 eV per cell
- Calculated density: 3.699 g cm⁻³
- Space-group type: P4/mmm, No. 123
- DOS at the Fermi energy: 3.39 states/eV per cell
- Energy of formation from the pure elements: 0.09 eV per atom

a b c (Å): 3.428 3.428 10.541
angles (deg): 90.00 90.00 90.00
Atoms (fractional coordinates):
K 0.000 0.000 0.000
Y 0.500 0.500 0.348
Y 0.500 0.500 0.652
Co 0.000 0.000 0.500

Record 2
DFT (PBE) results for a relaxed KY2Co crystal.

Results
- Electronic total energy: -20.30 eV per cell
- Calculated density: 3.400 g cm⁻³
- Space-group type: Amm2, No. 38
- DOS at the Fermi energy: 3.40 states/eV per cell
- Energy of formation from the pure elements: 0.21 eV per atom

a b c (Å): 3.775 9.270 9.270
angles (deg): 24.54 90.00 90.00
Atoms (fractional coordinates):
K 0.000 0.000 0.000
Y 0.000 0.687 0.687
Y 0.500 0.314 0.314
Co 0.500 0.176 0.176

Record 3
DFT (PBE) results for a relaxed KYCo2 crystal.

Results
- Electronic total energy: -19.77 eV per cell
- Calculated density: 3.402 g cm⁻³
- ΔE to the lowest computed polymorph: 0.2752 eV per atom
- Space-group type: C2/m, No. 12
- DOS at the Fermi energy: 4.01 states/eV per cell
- Energy of formation from the pure elements: 0.50 eV per atom

a b c (Å): 5.191 5.191 7.672
angles (deg): 118.79 118.79 42.72
Atoms (fractional coordinates):
K 0.000 0.000 0.000
Y 0.500 0.500 0.500
Co 0.254 0.254 0.573
Co 0.746 0.746 0.427

Record 4
DFT (PBE) results for a relaxed K2YCo crystal.

Results
- Electronic total energy: -25.07 eV per cell
- Calculated density: 2.075 g cm⁻³
- ΔE to the lowest computed polymorph: 0.4485 eV per atom
- Space-group type: I-42d, No. 122
- DOS at the Fermi energy: 8.22 states/eV per cell
- Energy of formation from the pure elements: 0.81 eV per atom

a b c (Å): 8.974 8.974 8.974
angles (deg): 94.18 94.18 148.69
Atoms (fractional coordinates):
K 0.375 0.016 0.141
K 0.766 0.625 0.641
K 0.875 0.234 0.859
K 0.984 0.125 0.359
Y 0.250 0.750 0.500
Y 0.500 0.500 0.000
Co 0.000 0.000 0.000
Co 0.750 0.250 0.500

Record 5
DFT (PBE) results for a relaxed KYCo2 crystal.

Results
- Electronic total energy: -20.11 eV per cell
- Calculated density: 3.755 g cm⁻³
- ΔE to the lowest computed polymorph: 0.1891 eV per atom
- Space-group type: Amm2, No. 38
- DOS at the Fermi energy: 2.87 states/eV per cell
- Energy of formation from the pure elements: 0.42 eV per atom

a b c (Å): 3.827 7.027 7.027
angles (deg): 35.12 90.00 90.00
Atoms (fractional coordinates):
K 0.000 0.000 0.000
Y 0.500 0.265 0.265
Co 0.000 0.719 0.719
Co 0.500 0.640 0.640

Record 6
DFT (PBE) results for a relaxed KYCo2 crystal.

Results
- Electronic total energy: -18.26 eV per cell
- Calculated density: 4.685 g cm⁻³
- ΔE to the lowest computed polymorph: 0.6502 eV per atom
- Space-group type: P4/mmm, No. 123
- DOS at the Fermi energy: 7.92 states/eV per cell
- Energy of formation from the pure elements: 0.88 eV per atom

a b c (Å): 5.079 5.079 3.377
angles (deg): 90.00 90.00 90.00
Atoms (fractional coordinates):
K 0.000 0.000 0.000
Y 0.500 0.500 0.000
Co 0.000 0.500 0.500
Co 0.500 0.000 0.500